Crystalline BaNp2FeO8 at its relaxed geometry, computed with PBE with a Hubbard U.

Cell lengths 7.7247, 7.0017, 7.1206 Å; angles 90.00, 92.39, 90.00 degrees
Closest atoms and distances in Å follow each position.
Space group C2/m (No. 12)
One atom of each set of equivalent atoms:
Ba: 0.0000 0.0000 0.0000 (multiplicity 2)  6 O 2.58-2.64
Np: 0.0041 0.5000 0.2619 (multiplicity 4)  4 O 1.97-2.05
Fe: 0.0000 0.0000 0.5000 (multiplicity 2)  4 O 2.15
O: 0.0015 0.2205 0.7098 (multiplicity 8)  1 Np 1.97, 1 Fe 2.15
O: 0.1587 0.5000 0.9730 (multiplicity 4)  1 Np 2.05
O: 0.1710 0.5000 0.4916 (multiplicity 4)  2 Np 2.04-2.26

Values from the calculation:
Calculated total energy   -206.85 eV/cell
ρ   6.86 g cm⁻³